# 1
Sm5Y12Zr3: relaxed, GGA-PBE.

Calculated values
DFT formation energy ... 1.08 eV/atom

abc: 18.3247 18.3247 18.3247
angles: 90.00 90.00 90.00
Space group Ia-3d (No. 230)
Symmetry-distinct sites (fractional):
Sm 0.0000 0.0000 0.0000 [16 per cell]
Sm 0.0000 0.2500 0.3750 [24 per cell]
Y 0.0108 0.0892 0.6468 [96 per cell]
Zr 0.0000 0.2500 0.1250 [24 per cell]

=====

# 2
BaNa2VCl8: relaxed, GGA-PBE.

Calculated values
Formation energy from raw total energies ... -1.6317 eV/atom

abc: 6.3030 6.5944 8.7278
angles: 85.04 86.85 85.06
Space group P-1 (No. 2)
Symmetry-distinct sites (fractional):
Ba 0.0000 0.0000 0.0000 [1 per cell]
Na 0.4584 0.4537 0.2325 [2 per cell]
V 0.0000 0.0000 0.5000 [1 per cell]
Cl 0.1546 0.7782 0.7004 [2 per cell]
Cl 0.1820 0.7986 0.3137 [2 per cell]
Cl 0.2767 0.1965 0.4938 [2 per cell]
Cl 0.3494 0.2860 0.9813 [2 per cell]

=====

# 3
Tb4GaCo: relaxed, GGA-PBE.

Calculated values
ΔE to the lowest computed polymorph ... 0 kJ/mol of formula units
DFT formation energy ... -0.27 eV/atom

abc: 8.7206 13.3514 5.9858
angles: 90.00 118.32 90.00
Space group C2/c (No. 15)
Symmetry-distinct sites (fractional):
Tb 0.1187 0.1798 0.0849 [8 per cell]
Tb 0.2184 0.4355 0.3177 [8 per cell]
Ga 0.0000 0.3709 0.7500 [4 per cell]
Co 0.0000 0.0003 0.2500 [4 per cell]

=====

Total moment across the listed records, respectively: 19.3 1.0 0.0 μB per cell.
Electronic total energy across the listed records, respectively: -5.262 -4.003 -5.041 eV per atom.